# 1
Below is an optimized crystal structure of Ti2Pt2S, with properties calculated at the PBE-GGA level.

a = 6.713 Å, b = 6.713 Å, c = 3.702 Å
α = 90.00°, β = 90.00°, γ = 90.00°
Positions (direct):
Ti1 0.166 0.334 0.000
Ti2 0.334 0.834 0.000
Ti3 0.666 0.166 0.000
Ti4 0.834 0.666 0.000
Pt1 0.137 0.637 0.500
Pt2 0.363 0.137 0.500
Pt3 0.637 0.863 0.500
Pt4 0.863 0.363 0.500
S1 0.000 0.000 0.000
S2 0.500 0.500 0.000

Uncorrected formation energy = -710 meV/atom
Total energy = -7.109 eV per atom
Symmetry = P4/mbm



# 2
Below is an optimized crystal structure of TiPtS2, with properties calculated at the PBE-GGA level.

a = 5.329 Å, b = 5.329 Å, c = 11.307 Å
α = 90.00°, β = 90.00°, γ = 90.00°
Positions (direct):
Ti1 0.000 0.000 0.000
Ti2 0.000 0.500 0.250
Ti3 0.500 0.000 0.750
Ti4 0.500 0.500 0.500
Pt1 0.000 0.000 0.500
Pt2 0.000 0.500 0.750
Pt3 0.500 0.000 0.250
Pt4 0.500 0.500 0.000
S1 0.242 0.250 0.125
S2 0.250 0.742 0.375
S3 0.250 0.758 0.875
S4 0.258 0.250 0.625
S5 0.742 0.750 0.625
S6 0.750 0.242 0.875
S7 0.750 0.258 0.375
S8 0.758 0.750 0.125

Distance to the lowest polymorph of the same formula = 162.1 meV per atom
Uncorrected formation energy = -661 meV/atom
Total energy = -6.209 eV per atom
Symmetry = I-42d



# 3
Below is an optimized crystal structure of TiPt3S, with properties calculated at the PBE-GGA level.

a = 4.506 Å, b = 4.506 Å, c = 4.506 Å
α = 90.00°, β = 90.00°, γ = 90.00°
Positions (direct):
Ti1 0.000 0.000 0.000
Pt1 0.000 0.500 0.500
Pt2 0.500 0.000 0.500
Pt3 0.500 0.500 0.000
S1 0.500 0.500 0.500

Distance to the lowest polymorph of the same formula = 0.0 meV per atom
Uncorrected formation energy = 185 meV/atom
Total energy = -5.844 eV per atom
Symmetry = Pm-3m



# 4
Below is an optimized crystal structure of TiPtS2, with properties calculated at the PBE-GGA level.

a = 3.269 Å, b = 3.269 Å, c = 22.664 Å
α = 90.00°, β = 90.00°, γ = 120.00°
Positions (direct):
Ti1 0.000 0.000 0.000
Ti2 0.333 0.667 0.667
Ti3 0.667 0.333 0.333
Pt1 0.000 0.000 0.500
Pt2 0.333 0.667 0.167
Pt3 0.667 0.333 0.833
S1 0.000 0.000 0.399
S2 0.000 0.000 0.601
S3 0.333 0.667 0.066
S4 0.333 0.667 0.267
S5 0.667 0.333 0.733
S6 0.667 0.333 0.934

Distance to the lowest polymorph of the same formula = 0.0 meV per atom
Uncorrected formation energy = -823 meV/atom
Total energy = -6.371 eV per atom
Symmetry = R-3m



# 5
Below is an optimized crystal structure of TiPtS2, with properties calculated at the PBE-GGA level.

a = 6.200 Å, b = 6.200 Å, c = 6.200 Å
α = 90.00°, β = 90.00°, γ = 90.00°
Positions (direct):
Ti1 0.000 0.000 0.000
Ti2 0.000 0.500 0.500
Ti3 0.500 0.000 0.500
Ti4 0.500 0.500 0.000
Pt1 0.000 0.000 0.500
Pt2 0.000 0.500 0.000
Pt3 0.500 0.000 0.000
Pt4 0.500 0.500 0.500
S1 0.250 0.250 0.250
S2 0.250 0.250 0.750
S3 0.250 0.750 0.250
S4 0.250 0.750 0.750
S5 0.750 0.250 0.250
S6 0.750 0.250 0.750
S7 0.750 0.750 0.250
S8 0.750 0.750 0.750

Distance to the lowest polymorph of the same formula = 448.8 meV per atom
Uncorrected formation energy = -375 meV/atom
Total energy = -5.922 eV per atom
Symmetry = Fm-3m



# 6
Below is an optimized crystal structure of Ti4PtS, with properties calculated at the PBE-GGA level.

a = 6.268 Å, b = 5.784 Å, c = 5.798 Å
α = 90.00°, β = 92.69°, γ = 90.00°
Positions (direct):
Ti1 0.124 0.141 0.359
Ti2 0.124 0.359 0.859
Ti3 0.329 0.623 0.372
Ti4 0.329 0.877 0.872
Ti5 0.671 0.123 0.128
Ti6 0.671 0.377 0.628
Ti7 0.876 0.641 0.141
Ti8 0.876 0.859 0.641
Pt1 0.500 0.000 0.500
Pt2 0.500 0.500 0.000
S1 0.000 0.000 0.000
S2 0.000 0.500 0.500

Uncorrected formation energy = -538 meV/atom
Total energy = -7.496 eV per atom
Symmetry = P2_1/c



# 7
Below is an optimized crystal structure of Ti5PtS, with properties calculated at the PBE-GGA level.

a = 5.415 Å, b = 5.415 Å, c = 9.462 Å
α = 108.75°, β = 108.75°, γ = 65.90°
Positions (direct):
Ti1 0.026 0.974 0.750
Ti2 0.079 0.405 0.630
Ti3 0.216 0.511 0.944
Ti4 0.405 0.079 0.130
Ti5 0.489 0.784 0.556
Ti6 0.511 0.216 0.444
Ti7 0.595 0.921 0.870
Ti8 0.784 0.489 0.056
Ti9 0.921 0.595 0.370
Ti10 0.974 0.026 0.250
Pt1 0.433 0.567 0.250
Pt2 0.567 0.433 0.750
S1 0.000 0.000 0.000
S2 0.000 0.000 0.500

Uncorrected formation energy = -544 meV/atom
Total energy = -7.636 eV per atom
Symmetry = C2/c



# 8
Below is an optimized crystal structure of Tl3PtS, with properties calculated at the PBE-GGA level.

a = 5.303 Å, b = 5.303 Å, c = 5.303 Å
α = 90.00°, β = 90.00°, γ = 90.00°
Positions (direct):
Tl1 0.000 0.000 0.500
Tl2 0.000 0.500 0.000
Tl3 0.500 0.000 0.000
Pt1 0.000 0.000 0.000
S1 0.500 0.500 0.500

Distance to the lowest polymorph of the same formula = 0.0 meV per atom
Uncorrected formation energy = -28 meV/atom
Total energy = -3.481 eV per atom
Symmetry = Pm-3m



# 9
Below is an optimized crystal structure of Tl3PtS, with properties calculated at the PBE-GGA level.

a = 5.443 Å, b = 5.443 Å, c = 5.443 Å
α = 90.00°, β = 90.00°, γ = 90.00°
Positions (direct):
Tl1 0.000 0.000 0.500
Tl2 0.000 0.500 0.000
Tl3 0.500 0.000 0.000
Pt1 0.500 0.500 0.500
S1 0.000 0.000 0.000

Distance to the lowest polymorph of the same formula = 619.3 meV per atom
Uncorrected formation energy = 591 meV/atom
Total energy = -2.862 eV per atom
Symmetry = Pm-3m



# 10
Below is an optimized crystal structure of TlPtS6, with properties calculated at the PBE-GGA level.

a = 4.553 Å, b = 5.857 Å, c = 9.595 Å
α = 104.32°, β = 94.49°, γ = 109.23°
Positions (direct):
Tl1 0.000 0.000 0.000
Pt1 0.500 0.500 0.000
S1 0.147 0.526 0.817
S2 0.292 0.718 0.186
S3 0.372 0.577 0.553
S4 0.628 0.423 0.447
S5 0.708 0.282 0.814
S6 0.853 0.474 0.183

Uncorrected formation energy = -15 meV/atom
Total energy = -4.162 eV per atom
Symmetry = P-1



# 11
Below is an optimized crystal structure of TlPtS, with properties calculated at the PBE-GGA level.

a = 12.829 Å, b = 3.638 Å, c = 6.414 Å
α = 90.00°, β = 90.55°, γ = 90.00°
Positions (direct):
Tl1 0.160 0.000 0.340
Tl2 0.340 0.500 0.660
Tl3 0.660 0.500 0.340
Tl4 0.840 0.000 0.660
Pt1 0.000 0.000 0.000
Pt2 0.000 0.500 0.500
Pt3 0.500 0.000 0.500
Pt4 0.500 0.500 0.000
S1 0.082 0.500 0.825
S2 0.418 0.000 0.175
S3 0.582 0.000 0.825
S4 0.918 0.500 0.175

Distance to the lowest polymorph of the same formula = 0.0 meV per atom
Uncorrected formation energy = -348 meV/atom
Total energy = -4.526 eV per atom
Symmetry = C2/m



# 12
Below is an optimized crystal structure of TlPtS, with properties calculated at the PBE-GGA level.

a = 4.014 Å, b = 4.014 Å, c = 5.108 Å
α = 90.00°, β = 90.00°, γ = 120.00°
Positions (direct):
Tl1 0.000 0.000 0.000
Pt1 0.667 0.333 0.499
S1 0.333 0.667 0.500

Distance to the lowest polymorph of the same formula = 161.5 meV per atom
Uncorrected formation energy = -186 meV/atom
Total energy = -4.364 eV per atom
Symmetry = P3m1



# 13
Below is an optimized crystal structure of TlPtS2, with properties calculated at the PBE-GGA level.

a = 3.581 Å, b = 3.581 Å, c = 26.477 Å
α = 90.00°, β = 90.00°, γ = 120.00°
Positions (direct):
Tl1 0.000 0.000 0.000
Tl2 0.333 0.667 0.667
Tl3 0.667 0.333 0.333
Pt1 0.000 0.000 0.500
Pt2 0.333 0.667 0.167
Pt3 0.667 0.333 0.833
S1 0.000 0.000 0.120
S2 0.000 0.000 0.880
S3 0.333 0.667 0.547
S4 0.333 0.667 0.786
S5 0.667 0.333 0.214
S6 0.667 0.333 0.453

Distance to the lowest polymorph of the same formula = 14.0 meV per atom
Uncorrected formation energy = -259 meV/atom
Total energy = -4.425 eV per atom
Symmetry = R-3m



# 14
Below is an optimized crystal structure of TlPtS2, with properties calculated at the PBE-GGA level.

a = 7.270 Å, b = 7.270 Å, c = 6.812 Å
α = 90.00°, β = 90.00°, γ = 90.00°
Positions (direct):
Tl1 0.000 0.000 0.000
Tl2 0.000 0.500 0.250
Tl3 0.500 0.000 0.750
Tl4 0.500 0.500 0.500
Pt1 0.000 0.000 0.500
Pt2 0.000 0.500 0.750
Pt3 0.500 0.000 0.250
Pt4 0.500 0.500 0.000
S1 0.162 0.750 0.625
S2 0.250 0.162 0.375
S3 0.250 0.338 0.875
S4 0.338 0.750 0.125
S5 0.662 0.250 0.125
S6 0.750 0.662 0.875
S7 0.750 0.838 0.375
S8 0.838 0.250 0.625

Distance to the lowest polymorph of the same formula = 103.7 meV per atom
Uncorrected formation energy = -169 meV/atom
Total energy = -4.335 eV per atom
Symmetry = I-42d



# 15
Below is an optimized crystal structure of TlPtS, with properties calculated at the PBE-GGA level.

a = 11.557 Å, b = 4.293 Å, c = 7.323 Å
α = 90.00°, β = 127.92°, γ = 90.00°
Positions (direct):
Tl1 0.225 0.000 0.204
Tl2 0.275 0.500 0.796
Tl3 0.725 0.500 0.204
Tl4 0.775 0.000 0.796
Pt1 0.023 0.000 0.699
Pt2 0.477 0.500 0.301
Pt3 0.523 0.500 0.699
Pt4 0.977 0.000 0.301
S1 0.044 0.500 0.298
S2 0.456 0.000 0.702
S3 0.544 0.000 0.298
S4 0.956 0.500 0.702

Distance to the lowest polymorph of the same formula = 228.8 meV per atom
Uncorrected formation energy = -119 meV/atom
Total energy = -4.297 eV per atom
Symmetry = C2/m



# 16
Below is an optimized crystal structure of TlPtS2, with properties calculated at the PBE-GGA level.

a = 3.618 Å, b = 3.618 Å, c = 23.628 Å
α = 90.00°, β = 90.00°, γ = 120.00°
Positions (direct):
Tl1 0.000 0.000 0.000
Tl2 0.333 0.667 0.667
Tl3 0.667 0.333 0.333
Pt1 0.000 0.000 0.167
Pt2 0.333 0.667 0.833
Pt3 0.667 0.333 0.500
S1 0.000 0.000 0.553
S2 0.000 0.000 0.781
S3 0.333 0.667 0.219
S4 0.333 0.667 0.447
S5 0.667 0.333 0.114
S6 0.667 0.333 0.886

Distance to the lowest polymorph of the same formula = 1.2 meV per atom
Uncorrected formation energy = -272 meV/atom
Total energy = -4.437 eV per atom
Symmetry = R3m



# 17
Below is an optimized crystal structure of Tl2PtS6, with properties calculated at the PBE-GGA level.

a = 7.169 Å, b = 7.169 Å, c = 4.992 Å
α = 98.59°, β = 98.59°, γ = 80.91°
Positions (direct):
Tl1 0.245 0.245 0.291
Tl2 0.755 0.755 0.709
Pt1 0.000 0.000 0.500
S1 0.063 0.715 0.202
S2 0.285 0.937 0.798
S3 0.298 0.702 0.000
S4 0.702 0.298 0.000
S5 0.715 0.063 0.202
S6 0.937 0.285 0.798

Uncorrected formation energy = -204 meV/atom
Total energy = -4.153 eV per atom
Symmetry = C2/m



# 18
Below is an optimized crystal structure of TlPtS2, with properties calculated at the PBE-GGA level.

a = 4.857 Å, b = 13.911 Å, c = 6.950 Å
α = 90.00°, β = 90.00°, γ = 90.00°
Positions (direct):
Tl1 0.000 0.178 0.250
Tl2 0.000 0.822 0.750
Tl3 0.500 0.322 0.750
Tl4 0.500 0.678 0.250
Pt1 0.000 0.497 0.250
Pt2 0.000 0.503 0.750
Pt3 0.500 0.003 0.750
Pt4 0.500 0.997 0.250
S1 0.000 0.390 0.504
S2 0.000 0.390 0.996
S3 0.000 0.610 0.004
S4 0.000 0.610 0.496
S5 0.500 0.110 0.004
S6 0.500 0.110 0.496
S7 0.500 0.890 0.504
S8 0.500 0.890 0.996

Distance to the lowest polymorph of the same formula = 0.0 meV per atom
Uncorrected formation energy = -273 meV/atom
Total energy = -4.439 eV per atom
Symmetry = Cmcm



# 19
Below is an optimized crystal structure of TlPtS2, with properties calculated at the PBE-GGA level.

a = 6.691 Å, b = 6.691 Å, c = 6.691 Å
α = 90.00°, β = 90.00°, γ = 90.00°
Positions (direct):
Tl1 0.000 0.000 0.000
Tl2 0.000 0.500 0.500
Tl3 0.500 0.000 0.500
Tl4 0.500 0.500 0.000
Pt1 0.000 0.000 0.500
Pt2 0.000 0.500 0.000
Pt3 0.500 0.000 0.000
Pt4 0.500 0.500 0.500
S1 0.250 0.250 0.250
S2 0.250 0.250 0.750
S3 0.250 0.750 0.250
S4 0.250 0.750 0.750
S5 0.750 0.250 0.250
S6 0.750 0.250 0.750
S7 0.750 0.750 0.250
S8 0.750 0.750 0.750

Distance to the lowest polymorph of the same formula = 856.3 meV per atom
Uncorrected formation energy = 583 meV/atom
Total energy = -3.582 eV per atom
Symmetry = Fm-3m



# 20
Below is an optimized crystal structure of TlPt2S, with properties calculated at the PBE-GGA level.

a = 5.295 Å, b = 5.295 Å, c = 14.694 Å
α = 90.00°, β = 90.00°, γ = 90.00°
Positions (direct):
Tl1 0.000 0.000 0.000
Tl2 0.000 0.500 0.250
Tl3 0.500 0.000 0.750
Tl4 0.500 0.500 0.500
Pt1 0.031 0.250 0.625
Pt2 0.250 0.531 0.875
Pt3 0.250 0.969 0.375
Pt4 0.469 0.250 0.125
Pt5 0.531 0.750 0.125
Pt6 0.750 0.031 0.375
Pt7 0.750 0.469 0.875
Pt8 0.969 0.750 0.625
S1 0.000 0.000 0.500
S2 0.000 0.500 0.750
S3 0.500 0.000 0.250
S4 0.500 0.500 0.000

Uncorrected formation energy = -174 meV/atom
Total energy = -4.817 eV per atom
Symmetry = I-42d